# PBE Pm4TeP2, optimized geometry
# D(E_F) (states/eV per cell): 12.28
# E_tot (eV for the cell shown): -126.153
# Magnetic moment (μB per atom): 0.185
# Theoretical density (Mg/m³): 6.2
data_Pm4TeP2
_chemical_formula_sum 'Pm12 Te3 P6'
_cell_length_a 4.1348
_cell_length_b 4.1348
_cell_length_c 41.5245
_cell_angle_alpha 90.00
_cell_angle_beta 90.00
_cell_angle_gamma 120.00
_space_group_name_H-M_alt 'R -3 m'
_space_group_IT_number 166
_space_group_name_Hall '-R 3 2"'
loop_
_atom_site_label
_atom_site_fract_x
_atom_site_fract_y
_atom_site_fract_z
Pm1 0.0000 0.0000 0.1275
Pm2 0.0000 0.0000 0.2823
Te1 0.0000 0.0000 0.0000
P1 0.0000 0.0000 0.4225